A plane-wave DFT calculation with PBE-GGA was carried out for a relaxed Ce3DyGa2 crystal.

Values from the calculation:
- calculated formation energy (eV per atom) = -0.3655
- E (eV/atom) = -5.1085
- total magnetization (μB per formula unit) = 0.0
- symmetry = C2/m

Lattice parameters (Å, degrees): 4.3391 9.0572 8.5536 115.61 90.00 103.86
Sites, in units of the cell vectors:
1 Ga 0.4827 0.9655 0.8293
2 Dy 0.1091 0.2182 0.0372
3 Ce 0.6232 0.2464 0.6861
4 Ce 0.2875 0.5750 0.5983
5 Ce 0.7125 0.4250 0.4017
6 Ga 0.7486 0.4971 0.0894
7 Ce 0.9316 0.8632 0.5508
8 Ce 0.3768 0.7536 0.3139
9 Ce 0.0684 0.1368 0.4492
10 Dy 0.8909 0.7818 0.9628
11 Ga 0.2514 0.5029 0.9106
12 Ga 0.5173 0.0345 0.1707